# 1
Entry from Alexandria: InPS2I after structural relaxation (GGA-PBE).

Geometry as extended XYZ:
```
5
Lattice="-4.7559 -1.4961 0.2619 0.7825 -3.1514 -3.7923 1.4265 -3.9136 3.5465" Properties=species:S:1:pos:R:3 pbc="T T T"
I -1.2734 -4.2806 0.0080
P 0.7132 -1.9568 1.7733
S 0.3913 -1.5757 -1.8962
S -2.3779 -0.7481 0.1310
In 0.0000 0.0000 0.0000
```

Values from the calculation:
ΔE_f (raw) in eV/atom: 0.772
E_tot in eV/atom: -2.819

---

# 2
Entry from Alexandria: Dy5ErIn2 after structural relaxation (GGA-PBE).

Geometry as extended XYZ:
```
8
Lattice="3.5234 0.0000 0.0000 1.7617 8.2320 -0.5085 1.7617 1.9917 8.0036" Properties=species:S:1:pos:R:3 pbc="T T T"
Dy 1.7617 5.1119 3.7475
Dy 3.5234 5.1698 0.8039
Dy 3.5234 5.0540 6.6912
Dy 3.5234 7.9017 2.8067
Dy 3.5234 2.3221 4.6884
Er 0.0000 0.0000 0.0000
In 5.2852 7.7875 5.7090
In 1.7617 2.4363 1.7861
```

Values from the calculation:
E_tot in eV/atom: -4.291

---

# 3
Entry from Alexandria: CuSiRu2 after structural relaxation (GGA-PBE).

Geometry as extended XYZ:
```
4
Lattice="2.7976 0.0000 0.0000 0.0000 4.5990 0.0000 0.0000 0.0000 4.1620" Properties=species:S:1:pos:R:3 pbc="T T T"
Cu 0.0000 2.2995 2.0810
Ru 0.0000 0.0000 0.0000
Ru 1.3988 2.2995 0.0000
Si 1.3988 0.0000 2.0810
```

Values from the calculation:
ΔE_f (raw) in eV/atom: 0.098
E_tot in eV/atom: -6.919

---

# 4
Entry from Alexandria: NdYSn after structural relaxation (GGA-PBE).

Geometry as extended XYZ:
```
3
Lattice="4.1514 0.0000 0.0000 0.0000 4.1514 0.0000 -2.0757 -2.0757 5.0100" Properties=species:S:1:pos:R:3 pbc="T T T"
Y 2.0757 2.0757 4.3884
Nd 2.0757 2.0757 1.2520
Sn 0.0000 0.0000 2.8765
```

Values from the calculation:
E_tot in eV/atom: -5.531